VASP calculation (PBEsol) on In2ReRuW after structural relaxation.

M_tot ... 3.659 μB/f.u.
Crystal system ... tetragonal
Energy of formation ... 51.24 kcal/mol of atoms

a = 5.0955 Å, b = 5.0955 Å, c = 4.5494 Å
α = 90.00°, β = 90.00°, γ = 90.00°
With the nearest neighbours (Å) after each atom.
Space group P4/mmm (No. 123)
Symmetry-distinct sites (fractional):
1 In 0.0000 0.5000 0.0000 (multiplicity 2)  2 W 2.55
2 Re 0.0000 0.0000 0.5000 (multiplicity 1)  8 In 3.42, 4 Ru 3.60
3 Ru 0.5000 0.5000 0.5000 (multiplicity 1)  2 W 2.27
4 W 0.5000 0.5000 0.0000 (multiplicity 1)  2 Ru 2.27

VASP calculation (PBEsol) on KZrBe2Ga after structural relaxation.

M_tot ... 0.299 μB/f.u.
Crystal system ... tetragonal
Energy of formation ... 49.23 kcal/mol of atoms

a = 4.4532 Å, b = 4.4532 Å, c = 4.9020 Å
α = 90.00°, β = 90.00°, γ = 90.00°
With the nearest neighbours (Å) after each atom.
Space group P4/mmm (No. 123)
Symmetry-distinct sites (fractional):
1 K 0.0000 0.0000 0.0000 (multiplicity 1)  4 Be 2.23, 2 Zr 2.45
2 Zr 0.0000 0.0000 0.5000 (multiplicity 1)  2 K 2.45
3 Be 0.0000 0.5000 0.0000 (multiplicity 2)  2 K 2.23
4 Ga 0.5000 0.5000 0.5000 (multiplicity 1)  4 Zr 3.15, 8 Be 3.31

VASP calculation (PBEsol) on CsZn4B3O9 after structural relaxation.

M_tot ... 0.000 μB/f.u.
Crystal system ... monoclinic
E_form (uncorrected) ... -1956 meV/atom

a = 6.8919 Å, b = 5.0205 Å, c = 12.8975 Å
α = 90.00°, β = 92.80°, γ = 90.00°
With the nearest neighbours (Å) after each atom.
Space group P2/c (No. 13)
Symmetry-distinct sites (fractional):
1 Cs 0.0000 0.2443 0.2500 (multiplicity 2)  8 O 3.08-3.40
2 Zn 0.2124 0.3353 0.5601 (multiplicity 4)  4 O 1.91-2.00
3 Zn 0.4852 0.1454 0.1256 (multiplicity 4)  4 O 1.94-1.97
4 B 0.1900 0.1488 0.9568 (multiplicity 4)  3 O 1.35-1.41
5 B 0.5000 0.3505 0.7500 (multiplicity 2)  3 O 1.38-1.39
6 O 0.0386 0.2396 0.8966 (multiplicity 4)  1 B 1.35
7 O 0.2703 0.1057 0.4406 (multiplicity 4)  1 B 1.41
8 O 0.2746 0.2957 0.0389 (multiplicity 4)  1 B 1.40
9 O 0.4074 0.2130 0.6693 (multiplicity 4)  1 B 1.38
10 O 0.5000 0.3725 0.2500 (multiplicity 2)  1 B 1.39

VASP calculation (PBEsol) on TaCrCoB2 after structural relaxation.

M_tot ... 4.264 μB/f.u.
Crystal system ... tetragonal
Energy of formation ... 47.95 kcal/mol of atoms

a = 4.1726 Å, b = 4.1726 Å, c = 4.4980 Å
α = 90.00°, β = 90.00°, γ = 90.00°
With the nearest neighbours (Å) after each atom.
Space group P4/mmm (No. 123)
Symmetry-distinct sites (fractional):
1 Ta 0.0000 0.0000 0.0000 (multiplicity 1)  4 B 2.09, 2 Cr 2.25
2 Cr 0.0000 0.0000 0.5000 (multiplicity 1)  2 Ta 2.25
3 Co 0.5000 0.5000 0.5000 (multiplicity 1)  4 Cr 2.95, 8 B 3.07
4 B 0.0000 0.5000 0.0000 (multiplicity 2)  2 Ta 2.09

VASP calculation (PBEsol) on Tl3BBr after structural relaxation.

M_tot ... 1.306 μB/f.u.
Crystal system ... cubic
E_form (uncorrected) ... 1214 meV/atom

a = 5.9262 Å, b = 5.9262 Å, c = 5.9262 Å
α = 90.00°, β = 90.00°, γ = 90.00°
With the nearest neighbours (Å) after each atom.
Space group Pm-3m (No. 221)
Symmetry-distinct sites (fractional):
1 Tl 0.0000 0.0000 0.5000 (multiplicity 3)  2 Br 2.96
2 B 0.5000 0.5000 0.5000 (multiplicity 1)  12 Tl 4.19
3 Br 0.0000 0.0000 0.0000 (multiplicity 1)  6 Tl 2.96

VASP calculation (PBEsol) on InCuW2 after structural relaxation.

M_tot ... 0.000 μB/f.u.
Crystal system ... tetragonal
Energy of formation ... 10.81 kcal/mol of atoms

a = 3.7759 Å, b = 3.7759 Å, c = 8.8038 Å
α = 90.00°, β = 90.00°, γ = 90.00°
With the nearest neighbours (Å) after each atom.
Space group I4/mmm (No. 139)
Symmetry-distinct sites (fractional):
1 In 0.0000 0.0000 0.0000 (multiplicity 2)  4 Cu 2.67, 8 W 2.90
2 Cu 0.0000 0.0000 0.5000 (multiplicity 2)  4 In 2.67, 8 W 2.90
3 W 0.0000 0.5000 0.2500 (multiplicity 4)  4 W 2.67, 4 In 2.90, 4 Cu 2.90

VASP calculation (PBEsol) on YTlCd2 after structural relaxation.

M_tot ... 0.318 μB/f.u.
Excess energy over the best structure of this formula in the dataset ... 0.136 eV per atom
Crystal system ... tetragonal
Energy of formation ... -4.31 kcal/mol of atoms

a = 3.5397 Å, b = 3.5397 Å, c = 7.5340 Å
α = 90.00°, β = 90.00°, γ = 90.00°
With the nearest neighbours (Å) after each atom.
Space group P4mm (No. 99)
Symmetry-distinct sites (fractional):
1 Y 0.0000 0.0000 0.0000 (multiplicity 1)  4 Cd 3.19, 4 Tl 3.24, 4 Y 3.54
2 Tl 0.5000 0.5000 0.7263 (multiplicity 1)  5 Cd 3.14-3.50, 4 Y 3.24
3 Cd 0.0000 0.0000 0.4752 (multiplicity 1)  4 Cd 2.97, 4 Tl 3.14
4 Cd 0.5000 0.5000 0.2619 (multiplicity 1)  4 Cd 2.97, 4 Y 3.19

VASP calculation (PBEsol) on HfN after structural relaxation.

M_tot ... 0.000 μB/f.u.
Crystal system ... cubic
E_form (uncorrected) ... -1618 meV/atom

a = 4.8605 Å, b = 4.8605 Å, c = 4.8605 Å
α = 90.00°, β = 90.00°, γ = 90.00°
With the nearest neighbours (Å) after each atom.
Space group F-43m (No. 216)
Symmetry-distinct sites (fractional):
1 Hf 0.0000 0.0000 0.0000 (multiplicity 4)  4 N 2.10
2 N 0.2500 0.2500 0.7500 (multiplicity 4)  4 Hf 2.10